## Hg2SeCl (PBE-GGA)

Data for crystalline Hg2SeCl at its relaxed geometry.

Summary:
**Energy above the most stable polymorph in this dataset**: 0.132 eV per formula unit
**Uncorrected formation energy**: -0.207 eV per atom
**Density of states at the Fermi level**: 1.53 states/eV/f.u.
**Crystal system**: tetragonal
**Size of the total moment**: 0.000 μB per cell
**Theoretical density**: 8.46 g cm⁻³

Cell: 4.1812 4.1812 5.7904 Å, 90.00 90.00 90.00°
Sites, in units of the cell vectors:
Se1 0.0000 0.0000 0.3751
Cl1 0.5000 0.5000 0.8747
Hg1 0.0000 0.0000 0.8754
Hg2 0.5000 0.5000 0.3748

=====

## Hg2SeCl (PBE-GGA)

Data for crystalline Hg2SeCl at its relaxed geometry.

Summary:
**Energy above the most stable polymorph in this dataset**: 0.652 eV per formula unit
**Uncorrected formation energy**: -0.077 eV per atom
**Density of states at the Fermi level**: 3.31 states/eV/f.u.
**Crystal system**: trigonal
**Size of the total moment**: 0.000 μB per cell
**Theoretical density**: 7.69 g cm⁻³

Cell: 7.2183 7.2183 7.2183 Å, 35.14 35.14 35.14°
Sites, in units of the cell vectors:
Hg1 0.2368 0.2368 0.2368
Cl1 0.7343 0.7343 0.7343
Se1 0.5274 0.5274 0.5274
Hg2 0.0016 0.0016 0.0016

=====

## HgSe2Cl (PBE-GGA)

Data for crystalline HgSe2Cl at its relaxed geometry.

Summary:
**Energy above the most stable polymorph in this dataset**: 0.273 eV per formula unit
**Uncorrected formation energy**: -0.081 eV per atom
**Density of states at the Fermi level**: 1.49 states/eV/f.u.
**Crystal system**: monoclinic
**Size of the total moment**: 0.000 μB per cell
**Theoretical density**: 5.63 g cm⁻³

Cell: 4.3690 4.3690 7.8808 Å, 82.84 82.84 51.26°
Sites, in units of the cell vectors:
Se1 0.9165 0.9165 0.0123
Cl1 0.5690 0.5690 0.4319
Hg1 0.2699 0.2699 0.2497
Se2 0.7446 0.7446 0.8061

=====

Copy entry 2 word for word.
## Hg2SeCl (PBE-GGA)

Data for crystalline Hg2SeCl at its relaxed geometry.

Summary:
**Energy above the most stable polymorph in this dataset**: 0.652 eV per formula unit
**Uncorrected formation energy**: -0.077 eV per atom
**Density of states at the Fermi level**: 3.31 states/eV/f.u.
**Crystal system**: trigonal
**Size of the total moment**: 0.000 μB per cell
**Theoretical density**: 7.69 g cm⁻³

Cell: 7.2183 7.2183 7.2183 Å, 35.14 35.14 35.14°
Sites, in units of the cell vectors:
Hg1 0.2368 0.2368 0.2368
Cl1 0.7343 0.7343 0.7343
Se1 0.5274 0.5274 0.5274
Hg2 0.0016 0.0016 0.0016